# 1
# Ho5PaN6 (PBE, relaxed)
# Spin magnetization (μB/cell): 0.00
# E_form (uncorrected) (eV per atom): -1.761
data_Ho5PaN6
_chemical_formula_sum 'Ho10 Pa2 N12'
_cell_length_a 5.988
_cell_length_b 10.366
_cell_length_c 5.984
_cell_angle_alpha 90.00
_cell_angle_beta 109.47
_cell_angle_gamma 90.00
_symmetry_space_group_name_H-M 'C 1 2/m 1'
_symmetry_Int_Tables_number 12
_symmetry_space_group_name_Hall '-C 2y'
loop_
_atom_site_label
_atom_site_type_symbol
_atom_site_fract_x
_atom_site_fract_y
_atom_site_fract_z
_atom_site_occupancy
Ho1 Ho 0.000 0.000 0.000 1
Ho2 Ho 0.000 0.166 0.500 1
Ho3 Ho 0.000 0.332 0.000 1
Pa1 Pa 0.000 0.500 0.500 1
N1 N 0.241 0.500 0.258 1
N2 N 0.243 0.339 0.746 1

# 2
# Ho3Pa4N8 (PBE, relaxed)
# Spin magnetization (μB/cell): 0.00
# E_form (uncorrected) (eV per atom): -1.515
data_Ho3Pa4N8
_chemical_formula_sum 'Ho6 Pa8 N16'
_cell_length_a 9.728
_cell_length_b 9.872
_cell_length_c 6.881
_cell_angle_alpha 90.00
_cell_angle_beta 134.11
_cell_angle_gamma 90.00
_symmetry_space_group_name_H-M 'C 1 2/m 1'
_symmetry_Int_Tables_number 12
_symmetry_space_group_name_Hall '-C 2y'
loop_
_atom_site_label
_atom_site_type_symbol
_atom_site_fract_x
_atom_site_fract_y
_atom_site_fract_z
_atom_site_occupancy
Ho1 Ho 0.000 0.000 0.000 1
Ho2 Ho 0.250 0.250 0.000 1
Pa1 Pa 0.000 0.000 0.500 1
Pa2 Pa 0.000 0.500 0.000 1
Pa3 Pa 0.250 0.250 0.500 1
N1 N 0.000 0.235 0.500 1
N2 N 0.000 0.250 0.000 1
N3 N 0.238 0.000 0.503 1
N4 N 0.245 0.000 0.962 1